(1)
Compound: LiZnCl2F
Source: the Alexandria database
Functional: GGA-PBE
Structure: relaxed

POSCAR file:
```
LiZnCl2F
1.0
4.9468 0.0000 0.0000
0.0000 4.9468 0.0000
0.0000 0.0000 3.9187
Li Zn Cl F
1 1 2 1
direct
0.0000 0.0000 0.0000
0.5000 0.5000 0.5000
0.0000 0.5000 0.5000
0.5000 0.0000 0.5000
0.5000 0.5000 0.0000
```

- ΔE_f (raw): -1544 meV/atom

(2)
Compound: Li2ZnCl2F2
Source: the Alexandria database
Functional: GGA-PBE
Structure: relaxed

POSCAR file:
```
Li2ZnCl2F2
1.0
11.7095 0.0000 0.0000
0.0000 3.4906 0.0000
-2.4369 0.0000 5.3509
Li Zn Cl F
4 2 4 4
direct
0.2471 0.0000 0.3126
0.2529 0.5000 0.6874
0.7471 0.5000 0.3126
0.7529 0.0000 0.6874
0.0000 0.5000 0.0000
0.5000 0.0000 0.0000
0.0944 0.0000 0.8405
0.4056 0.5000 0.1595
0.5944 0.5000 0.8405
0.9056 0.0000 0.1595
0.1685 0.5000 0.3248
0.3315 0.0000 0.6752
0.6685 0.0000 0.3248
0.8315 0.5000 0.6752
```

- ΔE_f (raw): -2086 meV/atom

(3)
Compound: MgClF
Source: the Alexandria database
Functional: GGA-PBE
Structure: relaxed

POSCAR file:
```
MgClF
1.0
3.3946 0.0000 0.0000
-1.6973 2.9398 0.0000
0.0000 0.0000 5.3545
Mg Cl F
1 1 1
direct
0.0000 0.0000 0.0000
0.3333 0.6667 0.7169
0.6667 0.3333 0.1467
```

- ΔE_f (raw): -2560 meV/atom
- Relative energy among the computed polymorphs: 55.3 meV per atom

(4)
Compound: Mg2ClF2
Source: the Alexandria database
Functional: GGA-PBE
Structure: relaxed

POSCAR file:
```
Mg2ClF2
1.0
-3.1308 3.1308 4.9729
3.1308 -3.1308 4.9729
3.1308 3.1308 -4.9729
Mg Cl F
4 2 4
direct
0.2442 0.0000 0.2442
0.7500 0.0058 0.2558
0.7500 0.4942 0.7442
0.7558 0.0000 0.7558
0.3038 0.8038 0.5000
0.5538 0.5538 0.0000
0.4987 0.2065 0.2921
0.9144 0.2065 0.7079
0.9565 0.1644 0.2079
0.9565 0.7487 0.7921
```

- ΔE_f (raw): -2240 meV/atom

(5)
Compound: MgClF
Source: the Alexandria database
Functional: GGA-PBE
Structure: relaxed

POSCAR file:
```
MgClF
1.0
3.8207 0.0000 0.0000
0.0000 3.8207 0.0000
0.0000 0.0000 9.4987
Mg Cl F
2 2 2
direct
0.2500 0.2500 0.1034
0.7500 0.7500 0.8966
0.2500 0.2500 0.3296
0.7500 0.7500 0.6704
0.2500 0.7500 0.0000
0.7500 0.2500 0.0000
```

- ΔE_f (raw): -2284 meV/atom
- Relative energy among the computed polymorphs: 330.7 meV per atom

(6)
Compound: Mg2ClF3
Source: the Alexandria database
Functional: GGA-PBE
Structure: relaxed

POSCAR file:
```
Mg2ClF3
1.0
6.4263 0.0000 0.0000
-3.2132 5.5654 0.0000
0.0000 0.0000 5.5403
Mg Cl F
4 2 6
direct
0.0000 0.0000 0.0000
0.0000 0.5000 0.0000
0.5000 0.0000 0.0000
0.5000 0.5000 0.0000
0.3333 0.6667 0.7018
0.6667 0.3333 0.2982
0.1710 0.3420 0.1540
0.1710 0.8290 0.1540
0.3420 0.1710 0.8460
0.6580 0.8290 0.1540
0.8290 0.1710 0.8460
0.8290 0.6580 0.8460
```

- ΔE_f (raw): -3033 meV/atom

(7)
Compound: MgClF3
Source: the Alexandria database
Functional: GGA-PBE
Structure: relaxed

POSCAR file:
```
MgClF3
1.0
4.4119 0.0000 0.0000
0.0000 4.4119 0.0000
0.0000 0.0000 4.4119
Mg Cl F
1 1 3
direct
0.0000 0.0000 0.0000
0.5000 0.5000 0.5000
0.0000 0.5000 0.5000
0.5000 0.0000 0.5000
0.5000 0.5000 0.0000
```

- ΔE_f (raw): -686 meV/atom
- Relative energy among the computed polymorphs: 1421.7 meV per atom

(8)
Compound: MgCl2F
Source: the Alexandria database
Functional: GGA-PBE
Structure: relaxed

POSCAR file:
```
MgCl2F
1.0
6.4219 0.0000 0.0000
0.0000 6.4219 0.0000
0.0000 0.0000 6.4219
Mg Cl F
4 8 4
direct
0.0000 0.0000 0.0000
0.0000 0.5000 0.5000
0.5000 0.0000 0.5000
0.5000 0.5000 0.0000
0.2500 0.2500 0.2500
0.2500 0.2500 0.7500
0.2500 0.7500 0.2500
0.2500 0.7500 0.7500
0.7500 0.2500 0.2500
0.7500 0.2500 0.7500
0.7500 0.7500 0.2500
0.7500 0.7500 0.7500
0.0000 0.0000 0.5000
0.0000 0.5000 0.0000
0.5000 0.0000 0.0000
0.5000 0.5000 0.5000
```

- ΔE_f (raw): -1022 meV/atom
- Relative energy among the computed polymorphs: 234.1 meV per atom